(1)
Entry from Alexandria via LeMat-Bulk: an optimized crystal structure of K2AlO (PBE).

Properties
E_form (uncorrected)	77.0	kJ/mol of formula units
volume	26.68	A^3/atom
E	-2.52	eV/atom

Structure (CIF):
```
data_K2AlO
_chemical_formula_sum 'K2 Al1 O1'
_space_group_name_H-M_alt 'P 1'
_space_group_IT_number 1
_cell_length_a 5.324
_cell_length_b 5.324
_cell_length_c 5.324
_cell_angle_alpha 60.00
_cell_angle_beta 60.00
_cell_angle_gamma 60.00
loop_
_space_group_symop_operation_xyz
'x,y,z'
loop_
_atom_site_label
_atom_site_type_symbol
_atom_site_fract_x
_atom_site_fract_y
_atom_site_fract_z
_atom_site_occupancy
K1 K 0.250 0.250 0.250 1
K2 K 0.750 0.750 0.750 1
Al1 Al 0.500 0.500 0.500 1
O1 O 0.000 0.000 0.000 1
```



(2)
Entry from Alexandria via LeMat-Bulk: an optimized crystal structure of Ti3CoPt (PBE).

Properties
volume	17.16	A^3/atom
formation enthalpy at 0 K	0.04	eV/atom
E	-7.33	eV/atom

Structure (CIF):
```
data_Ti3CoPt
_chemical_formula_sum 'Ti3 Co1 Pt1'
_space_group_name_H-M_alt 'P 1'
_space_group_IT_number 1
_cell_length_a 4.411
_cell_length_b 4.411
_cell_length_c 4.411
_cell_angle_alpha 90.00
_cell_angle_beta 90.00
_cell_angle_gamma 90.00
loop_
_space_group_symop_operation_xyz
'x,y,z'
loop_
_atom_site_label
_atom_site_type_symbol
_atom_site_fract_x
_atom_site_fract_y
_atom_site_fract_z
_atom_site_occupancy
Co1 Co 0.000 0.000 0.000 1
Pt1 Pt 0.500 0.500 0.500 1
Ti1 Ti 0.000 0.500 0.000 1
Ti2 Ti 0.000 0.000 0.500 1
Ti3 Ti 0.500 0.000 0.000 1
```



(3)
Entry from Alexandria via LeMat-Bulk: an optimized crystal structure of PmEr4Cu (PBE).

Properties
volume	27.85	A^3/atom
formation enthalpy at 0 K	-0.06	eV/atom
E	-4.57	eV/atom

Structure (CIF):
```
data_PmEr4Cu
_chemical_formula_sum 'Pm1 Er4 Cu1'
_space_group_name_H-M_alt 'P 1'
_space_group_IT_number 1
_cell_length_a 3.499
_cell_length_b 3.499
_cell_length_c 13.644
_cell_angle_alpha 90.00
_cell_angle_beta 90.00
_cell_angle_gamma 90.00
loop_
_space_group_symop_operation_xyz
'x,y,z'
loop_
_atom_site_label
_atom_site_type_symbol
_atom_site_fract_x
_atom_site_fract_y
_atom_site_fract_z
_atom_site_occupancy
Pm1 Pm 0.000 0.000 0.000 1
Er1 Er 0.500 0.500 0.188 1
Er2 Er 0.000 0.000 0.623 1
Er3 Er 0.000 0.000 0.377 1
Er4 Er 0.500 0.500 0.812 1
Cu1 Cu 0.500 0.500 0.500 1
```



(4)
Entry from Alexandria via LeMat-Bulk: an optimized crystal structure of DyLu2Mg (PBE).

Properties
volume	28.46	A^3/atom
formation enthalpy at 0 K	-0.02	eV/atom
E	-3.83	eV/atom

Structure (CIF):
```
data_DyLu2Mg
_chemical_formula_sum 'Dy1 Lu2 Mg1'
_space_group_name_H-M_alt 'P 1'
_space_group_IT_number 1
_cell_length_a 3.505
_cell_length_b 3.505
_cell_length_c 9.265
_cell_angle_alpha 90.00
_cell_angle_beta 90.00
_cell_angle_gamma 90.00
loop_
_space_group_symop_operation_xyz
'x,y,z'
loop_
_atom_site_label
_atom_site_type_symbol
_atom_site_fract_x
_atom_site_fract_y
_atom_site_fract_z
_atom_site_occupancy
Mg1 Mg 0.500 0.500 0.000 1
Lu1 Lu 0.000 0.000 0.762 1
Lu2 Lu 0.000 0.000 0.238 1
Dy1 Dy 0.500 0.500 0.500 1
```



(5)
Entry from Alexandria via LeMat-Bulk: an optimized crystal structure of CaLaSi2 (PBE).

Properties
E_form (uncorrected)	-194.2	kJ/mol of formula units
volume	24.07	A^3/atom
E	-4.95	eV/atom

Structure (CIF):
```
data_CaLaSi2
_chemical_formula_sum 'Ca1 La1 Si2'
_space_group_name_H-M_alt 'P 1'
_space_group_IT_number 1
_cell_length_a 6.223
_cell_length_b 6.223
_cell_length_c 6.223
_cell_angle_alpha 144.29
_cell_angle_beta 136.36
_cell_angle_gamma 57.61
loop_
_space_group_symop_operation_xyz
'x,y,z'
loop_
_atom_site_label
_atom_site_type_symbol
_atom_site_fract_x
_atom_site_fract_y
_atom_site_fract_z
_atom_site_occupancy
Ca1 Ca 0.505 0.505 0.000 1
La1 La 0.237 0.737 0.500 1
Si1 Si 0.951 0.951 0.000 1
Si2 Si 0.807 0.307 0.500 1
```



(6)
Entry from Alexandria via LeMat-Bulk: an optimized crystal structure of Na2TeMoSe (PBE).

Properties
E_form (uncorrected)	2.7	kJ/mol of formula units
volume	28.21	A^3/atom
E	-4.01	eV/atom

Structure (CIF):
```
data_Na2TeMoSe
_chemical_formula_sum 'Na2 Te1 Mo1 Se1'
_space_group_name_H-M_alt 'P 1'
_space_group_IT_number 1
_cell_length_a 5.255
_cell_length_b 5.108
_cell_length_c 5.255
_cell_angle_alpha 90.00
_cell_angle_beta 90.00
_cell_angle_gamma 90.00
loop_
_space_group_symop_operation_xyz
'x,y,z'
loop_
_atom_site_label
_atom_site_type_symbol
_atom_site_fract_x
_atom_site_fract_y
_atom_site_fract_z
_atom_site_occupancy
Na1 Na 0.000 0.000 0.500 1
Na2 Na 0.500 0.000 0.000 1
Mo1 Mo 0.000 0.500 0.000 1
Te1 Te 0.500 0.500 0.500 1
Se1 Se 0.000 0.000 0.000 1
```



(7)
Entry from Alexandria via LeMat-Bulk: an optimized crystal structure of Zn2SbPd9 (PBE).

Properties
E_form (uncorrected)	-394.7	kJ/mol of formula units
volume	15.53	A^3/atom
E	-4.79	eV/atom

Structure (CIF):
```
data_Zn2SbPd9
_chemical_formula_sum 'Zn2 Sb1 Pd9'
_space_group_name_H-M_alt 'P 1'
_space_group_IT_number 1
_cell_length_a 3.962
_cell_length_b 3.962
_cell_length_c 11.875
_cell_angle_alpha 90.00
_cell_angle_beta 90.00
_cell_angle_gamma 90.00
loop_
_space_group_symop_operation_xyz
'x,y,z'
loop_
_atom_site_label
_atom_site_type_symbol
_atom_site_fract_x
_atom_site_fract_y
_atom_site_fract_z
_atom_site_occupancy
Zn1 Zn 0.000 0.000 0.340 1
Zn2 Zn 0.000 0.000 0.660 1
Sb1 Sb 0.000 0.000 0.000 1
Pd1 Pd 0.500 0.500 0.000 1
Pd2 Pd 0.500 0.500 0.336 1
Pd3 Pd 0.500 0.500 0.664 1
Pd4 Pd 0.500 0.000 0.173 1
Pd5 Pd 0.500 0.000 0.500 1
Pd6 Pd 0.500 0.000 0.827 1
Pd7 Pd 0.000 0.500 0.173 1
Pd8 Pd 0.000 0.500 0.500 1
Pd9 Pd 0.000 0.500 0.827 1
```



(8)
Entry from Alexandria via LeMat-Bulk: an optimized crystal structure of Cs2Li2SmI6 (PBE).

Properties
E_form (uncorrected)	-1331.0	kJ/mol of formula units
volume	47.39	A^3/atom
E	-3.03	eV/atom

Structure (CIF):
```
data_Cs2Li2SmI6
_chemical_formula_sum 'Cs2 Li2 Sm1 I6'
_space_group_name_H-M_alt 'P 1'
_space_group_IT_number 1
_cell_length_a 8.781
_cell_length_b 8.485
_cell_length_c 8.926
_cell_angle_alpha 110.07
_cell_angle_beta 90.00
_cell_angle_gamma 121.16
loop_
_space_group_symop_operation_xyz
'x,y,z'
loop_
_atom_site_label
_atom_site_type_symbol
_atom_site_fract_x
_atom_site_fract_y
_atom_site_fract_z
_atom_site_occupancy
Cs1 Cs 0.700 0.399 0.180 1
Cs2 Cs 0.300 0.601 0.820 1
Li1 Li 0.935 0.870 0.726 1
Li2 Li 0.065 0.130 0.274 1
Sm1 Sm 0.500 0.000 0.500 1
I1 I 0.739 0.477 0.631 1
I2 I 0.206 0.907 0.219 1
I3 I 0.299 0.093 0.781 1
I4 I 0.794 0.093 0.781 1
I5 I 0.701 0.907 0.219 1
I6 I 0.261 0.523 0.369 1
```